Here is a geometry-optimized NiOsO4 structure from the Alexandria database. Energies are from PBE with a Hubbard U.

Calculated values
The magnetization is 1.536 Bohr magnetons per cell. The uncorrected energy comes out at -6.60 eV per atom.

a b c (Å): 5.535 4.588 5.557
angles (deg): 90.00 112.49 90.00
Fractional positions:
Ni (0.000, 0.000, 0.000)
Ni (0.000, 0.500, 0.500)
Os (0.500, 0.000, 0.500)
Os (0.500, 0.500, 0.000)
O (0.174, 0.188, 0.366)
O (0.174, 0.312, 0.866)
O (0.355, 0.717, 0.669)
O (0.355, 0.783, 0.169)
O (0.645, 0.217, 0.831)
O (0.645, 0.283, 0.331)
O (0.826, 0.688, 0.134)
O (0.826, 0.812, 0.634)

Here is a geometry-optimized Tl3Fe2Cl3F4 structure from the Alexandria database. Energies are from PBE with a Hubbard U.

Calculated values
The magnetization is 8.001 Bohr magnetons per cell. The uncorrected energy comes out at -4.26 eV per atom.

a b c (Å): 12.850 12.850 12.850
angles (deg): 161.79 157.11 29.41
Fractional positions:
Tl (0.000, 0.000, 0.000)
Tl (0.199, 0.199, 0.000)
Tl (0.801, 0.801, 0.000)
Fe (0.392, 0.392, 0.000)
Fe (0.608, 0.608, 0.000)
Cl (0.104, 0.604, 0.500)
Cl (0.500, 0.500, 0.000)
Cl (0.896, 0.396, 0.500)
F (0.308, 0.308, 0.000)
F (0.393, 0.893, 0.500)
F (0.607, 0.107, 0.500)
F (0.692, 0.692, 0.000)